Entry from Alexandria: a relaxed structure of CaPaVO6 (PBE with a Hubbard U).

The density of states at the Fermi level comes out at 0.00 states/eV per cell.

The space group is P-31c (No. 163) and the conventional cell measures 5.4789, 5.4789 and 9.7278 Å, with angles of 90.00, 90.00 and 120.00 degrees. Symmetry generates all atoms from Ca at (0.0000, 0.0000, 0.0000), Pa at (0.3333, 0.6667, 0.2500), V at (0.3333, 0.6667, 0.7500) and O at (0.0354, 0.3820, 0.6418).

=====

Entry from Alexandria: a relaxed structure of CaPaV2O8 (PBE with a Hubbard U).

The space group is I-4m2 (No. 119) and the conventional cell measures 7.201, 7.201 and 6.478 Å, with angles of 90.00, 90.00 and 90.00 degrees. Symmetry generates all atoms from Ca at (0.000, 0.000, 0.000), Pa at (0.000, 0.500, 0.750), V at (0.000, 0.000, 0.500), V at (0.000, 0.500, 0.250), O at (0.000, 0.201, 0.669) and O at (0.000, 0.320, 0.072).

=====

Entry from Alexandria: a relaxed structure of Ca2PaVO6 (PBE with a Hubbard U).

The density of states at the Fermi level comes out at 0.00 states/eV per cell.

The space group is P1 (No. 1) and the conventional cell measures 5.713, 5.729 and 5.830 Å, with angles of 118.96, 90.06 and 119.69 degrees. Symmetry generates all atoms from Ca at (0.000, 0.000, 0.000), Ca at (0.499, 0.998, 0.500), Pa at (0.775, 0.550, 0.329), V at (0.279, 0.554, 0.833), O at (0.059, 0.677, 0.099), O at (0.135, 0.675, 0.615), O at (0.417, 0.479, 0.103), O at (0.540, 0.474, 0.615), O at (0.626, 0.049, 0.105) and O at (0.930, 0.057, 0.606).

=====

Entry from Alexandria: a relaxed structure of CaPaWO6 (PBE with a Hubbard U).

The density of states at the Fermi level comes out at 0.00 states/eV per cell.

The space group is P-31c (No. 163) and the conventional cell measures 5.6632, 5.6632 and 9.6557 Å, with angles of 90.00, 90.00 and 120.00 degrees. Symmetry generates all atoms from Ca at (0.0000, 0.0000, 0.0000), Pa at (0.3333, 0.6667, 0.2500), W at (0.3333, 0.6667, 0.7500) and O at (0.0221, 0.3702, 0.6408).

=====

Here are the calculated VASP energy numbers, same order: -8.217; -8.152; -8.068; -8.270 (eV/atom).
Here are the calculated volume numbers, same order: 252.9; 335.9; 137.6; 268.2 (Å³/cell).